Entry 1:
The following is a DFT calculation (GGA-PBE) of a relaxed CoPdN2 crystal.

extended XYZ file:
```
8
Lattice="-1.154 2.603 3.711 -4.258 -1.935 0.032 -1.333 -2.646 4.389" Properties=species:S:1:pos:R:3 pbc="T T T"
N -5.505 -1.296 6.566
N -3.260 -1.839 4.697
N -3.202 -1.405 1.783
N -1.524 0.582 3.219
Pd -2.597 0.145 4.986
Pd 0.000 0.000 0.000
Co -2.706 0.334 1.872
Co -4.149 -2.124 3.147
```

Output
Offset from the most stable computed form (meV per atom): 22.4
Formation energy (no corrections) (eV/atom): 0.52
DOS(E_F) (states/eV/atom): 0.5495
Calculated total energy (eV/atom): -6.714

Entry 2:
The following is a DFT calculation (GGA-PBE) of a relaxed CoPdN3 crystal.

extended XYZ file:
```
5
Lattice="3.658 0.000 0.000 0.000 3.658 0.000 0.000 0.000 3.658" Properties=species:S:1:pos:R:3 pbc="T T T"
N 0.000 1.829 0.000
N 1.829 0.000 0.000
N 0.000 0.000 1.829
Co 0.000 0.000 0.000
Pd 1.829 1.829 1.829
```

Output
Formation energy (no corrections) (eV/atom): 1.60
DOS(E_F) (states/eV/atom): 1.2358
Calculated total energy (eV/atom): -5.853